Record 1
First-principles (PBE) data for an optimized crystal structure of Zr2Sn2Br, as listed in Alexandria via LeMat-Bulk.

M_tot (μB per atom): 0.000
Energy relative to the lowest polymorph listed for this composition (kcal/mol of atoms): 6.71
Uncorrected formation energy (eV/atom): -0.12
Fermi-level density of states (states/eV/cell): 9.01

a b c (Å): 8.945 8.945 3.202
angles (deg): 90.00 90.00 90.00
Space group P4/mbm (No. 127)
Symmetry-distinct sites (fractional):
Zr1 0.147 0.353 0.000
Sn1 0.147 0.647 0.500
Br1 0.000 0.000 0.500

=====

Record 2
First-principles (PBE) data for an optimized crystal structure of ZrSnBr2, as listed in Alexandria via LeMat-Bulk.

M_tot (μB per atom): 0.000
Energy relative to the lowest polymorph listed for this composition (kcal/mol of atoms): 14.37
Uncorrected formation energy (eV/atom): -0.08
Fermi-level density of states (states/eV/cell): 12.69

a b c (Å): 7.214 7.214 7.214
angles (deg): 90.00 90.00 90.00
Space group Fm-3m (No. 225)
Symmetry-distinct sites (fractional):
Zr1 0.000 0.000 0.000
Sn1 0.000 0.000 0.500
Br1 0.250 0.250 0.250

=====

Record 3
First-principles (PBE) data for an optimized crystal structure of ZrSnBr2, as listed in Alexandria via LeMat-Bulk.

M_tot (μB per atom): 0.000
Energy relative to the lowest polymorph listed for this composition (kcal/mol of atoms): 8.37
Uncorrected formation energy (eV/atom): -0.34
Fermi-level density of states (states/eV/cell): 14.72

a b c (Å): 9.394 9.394 5.851
angles (deg): 90.00 90.00 90.00
Space group I-42d (No. 122)
Symmetry-distinct sites (fractional):
Zr1 0.000 0.000 0.000
Sn1 0.000 0.000 0.500
Br1 0.124 0.250 0.125

=====

Record 4
First-principles (PBE) data for an optimized crystal structure of ZrSnBr, as listed in Alexandria via LeMat-Bulk.

M_tot (μB per atom): 0.000
Uncorrected formation energy (eV/atom): -0.68
Fermi-level density of states (states/eV/cell): 7.67

a b c (Å): 11.096 3.360 10.269
angles (deg): 90.00 110.94 90.00
Space group C2/m (No. 12)
Symmetry-distinct sites (fractional):
Zr1 0.201 0.000 0.138
Sn1 0.036 0.500 0.874
Br1 0.180 0.000 0.648

=====

Record 5
First-principles (PBE) data for an optimized crystal structure of ZrSnBr3, as listed in Alexandria via LeMat-Bulk.

M_tot (μB per atom): 0.600
Energy relative to the lowest polymorph listed for this composition (kcal/mol of atoms): 14.02
Uncorrected formation energy (eV/atom): 0.22
Fermi-level density of states (states/eV/cell): 5.29

a b c (Å): 5.727 5.727 5.727
angles (deg): 90.00 90.00 90.00
Space group Pm-3m (No. 221)
Symmetry-distinct sites (fractional):
Zr1 0.000 0.000 0.000
Sn1 0.500 0.500 0.500
Br1 0.000 0.500 0.500

=====

Record 6
First-principles (PBE) data for an optimized crystal structure of Zr3SnBr, as listed in Alexandria via LeMat-Bulk.

M_tot (μB per atom): 0.000
Energy relative to the lowest polymorph listed for this composition (kcal/mol of atoms): 0.00
Uncorrected formation energy (eV/atom): 0.27
Fermi-level density of states (states/eV/cell): 8.76

a b c (Å): 4.979 4.979 4.979
angles (deg): 90.00 90.00 90.00
Space group Pm-3m (No. 221)
Symmetry-distinct sites (fractional):
Zr1 0.000 0.000 0.500
Sn1 0.500 0.500 0.500
Br1 0.000 0.000 0.000

=====

Record 7
First-principles (PBE) data for an optimized crystal structure of ZrSn3Br, as listed in Alexandria via LeMat-Bulk.

M_tot (μB per atom): 0.000
Energy relative to the lowest polymorph listed for this composition (kcal/mol of atoms): 0.00
Uncorrected formation energy (eV/atom): 0.24
Fermi-level density of states (states/eV/cell): 6.10

a b c (Å): 5.647 5.647 5.647
angles (deg): 90.00 90.00 90.00
Space group Pm-3m (No. 221)
Symmetry-distinct sites (fractional):
Zr1 0.000 0.000 0.000
Sn1 0.000 0.000 0.500
Br1 0.500 0.500 0.500

=====

Record 8
First-principles (PBE) data for an optimized crystal structure of ZrSn3Br, as listed in Alexandria via LeMat-Bulk.

M_tot (μB per atom): 0.000
Energy relative to the lowest polymorph listed for this composition (kcal/mol of atoms): 12.78
Uncorrected formation energy (eV/atom): 0.79
Fermi-level density of states (states/eV/cell): 4.53

a b c (Å): 5.395 5.395 5.395
angles (deg): 90.00 90.00 90.00
Space group Pm-3m (No. 221)
Symmetry-distinct sites (fractional):
Zr1 0.000 0.000 0.000
Sn1 0.000 0.500 0.500
Br1 0.500 0.500 0.500

=====

Question: Which of these has the highest uncorrected formation energy?
Answer: number 8